A relaxed structure of MnFeMo2Pd. Source: Alexandria, functional PBE.

a b c (Å): 4.710 4.710 4.496
angles (deg): 90.00 90.00 90.00
Space group P4/mmm (No. 123)
Asymmetric unit:
Mn1 0.000 0.000 0.000 x1
Fe1 0.500 0.500 0.000 x1
Mo1 0.000 0.500 0.500 x2
Pd1 0.500 0.500 0.500 x1

## Properties
M_tot, μB/f.u.: 3.4
Formation energy from the elements, eV/atom: 1.995

---

A relaxed structure of MnFeReMo. Source: Alexandria, functional PBE.

a b c (Å): 6.023 6.023 6.023
angles (deg): 90.00 90.00 90.00
Space group F-43m (No. 216)
Asymmetric unit:
Mn1 0.000 0.000 0.000 x4
Fe1 0.250 0.250 0.750 x4
Re1 0.250 0.250 0.250 x4
Mo1 0.000 0.000 0.500 x4

## Properties
M_tot, μB/f.u.: 3.9
Formation energy from the elements, eV/atom: 0.091

---

A relaxed structure of MnFeRe2Mo. Source: Alexandria, functional PBE.

a b c (Å): 4.402 4.402 4.061
angles (deg): 90.00 90.00 90.00
Space group P4/mmm (No. 123)
Asymmetric unit:
Mn1 0.000 0.000 0.000 x1
Fe1 0.000 0.000 0.500 x1
Re1 0.000 0.500 0.500 x2
Mo1 0.500 0.500 0.000 x1

## Properties
M_tot, μB/f.u.: 0.0
Formation energy from the elements, eV/atom: 1.409

---

| no. | VASP energy (eV/atom) |
| --- | --- |
| 1 | -6.903 |
| 2 | -10.136 |
| 3 | -9.263 |